(1)
VASP calculation (PBE-GGA) on an optimized crystal structure of Ta3NbS.

```
Ta3NbS
1.0
4.552 0.000 0.000
0.000 4.552 0.000
0.000 0.000 4.552
Ta Nb S
3 1 1
Direct
0.000 0.000 0.500
0.000 0.500 0.000
0.500 0.000 0.000
0.500 0.500 0.500
0.000 0.000 0.000
```

**N(E_F)**: 3.52 states/eV per cell
**ΔE_f (raw)**: 1.30 eV per formula unit
**Total DFT energy (no corrections)**: -9.69 eV per atom
**ΔE to the lowest computed polymorph**: 1.95 eV per formula unit
**SG**: Pm-3m, No. 221

=====

(2)
VASP calculation (PBE-GGA) on an optimized crystal structure of Mn2ZnOs.

```
Mn2ZnOs
1.0
4.338 -1.353 0.000
4.338 1.353 0.000
-0.882 0.000 4.444
Mn Zn Os
2 1 1
Direct
0.000 0.000 0.000
0.748 0.748 0.269
0.501 0.501 0.497
0.257 0.257 0.781
```

**N(E_F)**: 2.92 states/eV per cell
**Total DFT energy (no corrections)**: -7.59 eV per atom
**SG**: Cm, No. 8

=====

(3)
VASP calculation (PBE-GGA) on an optimized crystal structure of LiCa2Sc2.

```
LiCa2Sc2
1.0
9.497 0.000 0.000
0.000 9.497 0.000
0.000 0.000 3.695
Li Ca Sc
2 4 4
Direct
0.000 0.000 0.000
0.500 0.500 0.000
0.181 0.319 0.500
0.319 0.819 0.500
0.681 0.181 0.500
0.819 0.681 0.500
0.110 0.610 0.000
0.390 0.110 0.000
0.610 0.890 0.000
0.890 0.390 0.000
```

**N(E_F)**: 11.92 states/eV per cell
**Total DFT energy (no corrections)**: -3.31 eV per atom
**SG**: P4/mbm, No. 127

=====

(4)
VASP calculation (PBE-GGA) on an optimized crystal structure of LiSeN2F.

```
LiSeN2F
1.0
4.797 0.000 0.000
0.000 4.797 0.000
0.000 0.000 4.065
Li Se N F
1 1 2 1
Direct
0.000 0.000 0.000
0.500 0.500 0.000
0.000 0.500 0.500
0.500 0.000 0.500
0.500 0.500 0.500
```

**N(E_F)**: 3.47 states/eV per cell
**ΔE_f (raw)**: 8.18 eV per formula unit
**Total DFT energy (no corrections)**: -3.15 eV per atom
**ΔE to the lowest computed polymorph**: 5.83 eV per formula unit
**SG**: P4/mmm, No. 123

=====

(5)
VASP calculation (PBE-GGA) on an optimized crystal structure of TbTh2Fe2.

```
TbTh2Fe2
1.0
5.724 -1.997 0.000
5.724 1.997 0.000
-1.603 0.000 5.117
Tb Th Fe
1 2 2
Direct
0.000 0.000 0.000
0.340 0.340 0.373
0.660 0.660 0.627
0.296 0.296 0.862
0.704 0.704 0.138
```

**N(E_F)**: 2.54 states/eV per cell
**Total DFT energy (no corrections)**: -7.25 eV per atom
**ΔE to the lowest computed polymorph**: 0.23 eV per formula unit
**SG**: C2/m, No. 12

=====

(6)
VASP calculation (PBE-GGA) on an optimized crystal structure of YPdPb.

```
YPdPb
1.0
4.757 0.000 0.000
-2.378 4.119 0.000
0.000 0.000 3.613
Y Pd Pb
1 1 1
Direct
0.000 0.000 0.000
0.333 0.667 0.501
0.667 0.333 0.499
```

**N(E_F)**: 1.99 states/eV per cell
**Total DFT energy (no corrections)**: -5.78 eV per atom
**SG**: P3m1, No. 156

=====

(7)
VASP calculation (PBE-GGA) on an optimized crystal structure of Na2TiHg.

```
Na2TiHg
1.0
-4.296 4.296 2.897
4.296 -4.296 2.897
4.296 4.296 -2.897
Na Ti Hg
4 2 2
Direct
0.099 0.125 0.474
0.375 0.901 0.026
0.651 0.625 0.526
0.875 0.349 0.974
0.250 0.750 0.500
0.500 0.500 0.000
0.000 0.000 0.000
0.750 0.250 0.500
```

**N(E_F)**: 8.73 states/eV per cell
**Total DFT energy (no corrections)**: -2.19 eV per atom
**SG**: I-42d, No. 122

=====

(8)
VASP calculation (PBE-GGA) on an optimized crystal structure of Ca2RuN2.

```
Ca2RuN2
1.0
-1.816 1.824 6.145
1.816 -1.824 6.145
1.816 1.824 -6.145
Ca Ru N
2 1 2
Direct
0.148 0.148 0.000
0.852 0.852 0.000
0.500 0.500 0.000
0.350 0.350 0.000
0.650 0.650 0.000
```

**N(E_F)**: 3.85 states/eV per cell
**ΔE_f (raw)**: -2.79 eV per formula unit
**Total DFT energy (no corrections)**: -6.54 eV per atom
**SG**: Immm, No. 71

=====

(9)
VASP calculation (PBE-GGA) on an optimized crystal structure of TaPd6Rh.

```
TaPd6Rh
1.0
-1.970 1.970 7.918
1.970 -1.970 7.918
1.970 1.970 -7.918
Ta Pd Rh
1 6 1
Direct
0.000 0.000 0.000
0.121 0.621 0.500
0.252 0.252 0.000
0.379 0.879 0.500
0.621 0.121 0.500
0.748 0.748 0.000
0.879 0.379 0.500
0.500 0.500 0.000
```

**N(E_F)**: 7.15 states/eV per cell
**Total DFT energy (no corrections)**: -6.61 eV per atom
**SG**: I4/mmm, No. 139

=====

(10)
VASP calculation (PBE-GGA) on an optimized crystal structure of UTlCu2S4.

```
UTlCu2S4
1.0
-3.216 3.672 4.001
3.216 -3.672 4.001
3.216 3.672 -4.001
U Tl Cu S
1 1 2 4
Direct
0.000 0.000 0.000
0.500 0.500 0.000
0.159 0.659 0.500
0.841 0.341 0.500
0.010 0.059 0.434
0.375 0.941 0.950
0.625 0.575 0.566
0.990 0.425 0.050
```

**N(E_F)**: 6.80 states/eV per cell
**ΔE_f (raw)**: -3.97 eV per formula unit
**Total DFT energy (no corrections)**: -5.29 eV per atom
**SG**: I222, No. 23

=====

(11)
VASP calculation (PBE-GGA) on an optimized crystal structure of CsSn3S.

```
CsSn3S
1.0
5.611 0.000 0.000
0.000 5.611 0.000
0.000 0.000 5.611
Cs Sn S
1 3 1
Direct
0.000 0.000 0.000
0.000 0.500 0.500
0.500 0.000 0.500
0.500 0.500 0.000
0.500 0.500 0.500
```

**N(E_F)**: 3.45 states/eV per cell
**ΔE_f (raw)**: 0.55 eV per formula unit
**Total DFT energy (no corrections)**: -3.29 eV per atom
**ΔE to the lowest computed polymorph**: 0.00 eV per formula unit
**SG**: Pm-3m, No. 221

=====

(12)
VASP calculation (PBE-GGA) on an optimized crystal structure of Mg2AlCr.

```
Mg2AlCr
1.0
3.389 -4.214 0.000
3.389 4.214 0.000
-0.451 0.000 5.279
Mg Al Cr
4 2 2
Direct
0.144 0.524 0.464
0.188 0.812 0.000
0.524 0.144 0.464
0.812 0.188 0.000
0.328 0.328 0.921
0.676 0.676 0.220
0.682 0.682 0.715
0.996 0.996 0.550
```

**N(E_F)**: 3.49 states/eV per cell
**Total DFT energy (no corrections)**: -3.98 eV per atom
**SG**: Cm, No. 8